# SnH3Ru (PBE, relaxed)
data_SnH3Ru
_chemical_formula_sum 'Sn1 H3 Ru1'
_cell_length_a 3.8365
_cell_length_b 3.8365
_cell_length_c 3.8365
_cell_angle_alpha 90.00
_cell_angle_beta 90.00
_cell_angle_gamma 90.00
_space_group_name_H-M_alt 'P m -3 m'
_space_group_IT_number 221
_space_group_name_Hall '-P 4 2 3'
loop_
_atom_site_label
_atom_site_type_symbol
_atom_site_fract_x
_atom_site_fract_y
_atom_site_fract_z
Sn1 Sn 0.0000 0.0000 0.0000
H1 H 0.0000 0.0000 0.5000
Ru1 Ru 0.5000 0.5000 0.5000
# **Volume**: 56.5 Å³/cell
# **Magnetic moment**: 2.14 Bohr magnetons per cell
# **E**: -3.475 eV/atom